A plane-wave DFT calculation with GGA-PBEsol was carried out for a geometry-optimized Zn2RePt structure.

Cell lengths 3.9507, 3.9507, 3.5844 Å; angles 90.00, 90.00, 90.00 degrees
Space group P4/mmm (No. 123)
Asymmetric unit:
Zn 0.0000 0.5000 0.0000 [2 per cell]
Re 0.0000 0.0000 0.5000 [1 per cell]
Pt 0.5000 0.5000 0.5000 [1 per cell]

formation enthalpy at 0 K	0.1061	eV/atom
DOS(E_F)	3.5	states/eV/f.u.
polymorph energy (0 for the lowest one)	2.08	kcal/mol of atoms